(1)
# Eu2Ti2O5 | the Alexandria database | meta-GGA SCAN | PBEsol geometry
data_Eu2Ti2O5
_cell_length_a 5.450
_cell_length_b 5.503
_cell_length_c 8.611
_cell_angle_alpha 108.63
_cell_angle_beta 108.45
_cell_angle_gamma 90.00
_symmetry_space_group_name_H-M 'P 1'
_symmetry_Int_Tables_number 1
loop_
_symmetry_equiv_pos_as_xyz
'x,y,z'
loop_
_atom_site_label
_atom_site_type_symbol
_atom_site_fract_x
_atom_site_fract_y
_atom_site_fract_z
Eu1 Eu 0.132 0.627 0.244
O1 O 0.882 0.811 0.744
Ti1 Ti 0.010 0.000 0.000
O2 O 0.010 0.000 0.500
O3 O 0.244 0.234 0.968
O4 O 0.137 0.189 0.256
O5 O 0.744 0.234 0.968
O6 O 0.637 0.566 0.256
Ti2 Ti 0.260 0.251 0.500
O7 O 0.276 0.766 0.032
Ti3 Ti 0.760 0.749 0.500
O8 O 0.776 0.766 0.032
O9 O 0.510 0.000 0.500
Ti4 Ti 0.510 0.500 0.000
Eu2 Eu 0.632 0.118 0.244
Eu3 Eu 0.387 0.882 0.756
O10 O 0.382 0.434 0.744
Eu4 Eu 0.887 0.373 0.756
# Mass density, g cm⁻³: 6.91
# Electronic total energy, eV per atom: -22.137

---

(2)
# ZrBi2C | the Alexandria database | meta-GGA SCAN | PBEsol geometry
data_ZrBi2C
_cell_length_a 6.095
_cell_length_b 6.095
_cell_length_c 6.095
_cell_angle_alpha 107.42
_cell_angle_beta 107.42
_cell_angle_gamma 113.65
_symmetry_space_group_name_H-M 'P 1'
_symmetry_Int_Tables_number 1
loop_
_symmetry_equiv_pos_as_xyz
'x,y,z'
loop_
_atom_site_label
_atom_site_type_symbol
_atom_site_fract_x
_atom_site_fract_y
_atom_site_fract_z
Bi1 Bi 0.801 0.875 0.426
C1 C 0.750 0.250 0.500
Bi2 Bi 0.449 0.375 0.574
Bi3 Bi 0.125 0.551 0.926
Bi4 Bi 0.625 0.199 0.074
Zr1 Zr 0.250 0.750 0.500
Zr2 Zr 0.000 0.000 0.000
C2 C 0.500 0.500 0.000
# Mass density, g cm⁻³: 9.97
# Energy of formation from the pure elements, eV/atom: 1.045

---

(3)
# KMn | the Alexandria database | meta-GGA SCAN | PBEsol geometry
data_KMn
_cell_length_a 3.279
_cell_length_b 3.279
_cell_length_c 5.590
_cell_angle_alpha 90.00
_cell_angle_beta 90.00
_cell_angle_gamma 90.00
_symmetry_space_group_name_H-M 'P 1'
_symmetry_Int_Tables_number 1
loop_
_symmetry_equiv_pos_as_xyz
'x,y,z'
loop_
_atom_site_label
_atom_site_type_symbol
_atom_site_fract_x
_atom_site_fract_y
_atom_site_fract_z
K1 K 0.000 0.000 0.000
Mn1 Mn 0.500 0.500 0.500
# Mass density, g cm⁻³: 2.60
# Energy of formation from the pure elements, eV/atom: 0.806

---

(4)
# KFe2Ni | the Alexandria database | meta-GGA SCAN | PBEsol geometry
data_KFe2Ni
_cell_length_a 2.638
_cell_length_b 4.182
_cell_length_c 6.857
_cell_angle_alpha 94.52
_cell_angle_beta 90.00
_cell_angle_gamma 108.38
_symmetry_space_group_name_H-M 'P 1'
_symmetry_Int_Tables_number 1
loop_
_symmetry_equiv_pos_as_xyz
'x,y,z'
loop_
_atom_site_label
_atom_site_type_symbol
_atom_site_fract_x
_atom_site_fract_y
_atom_site_fract_z
Fe1 Fe 0.275 0.549 0.858
Fe2 Fe 0.999 0.998 0.010
Ni1 Ni 0.730 0.460 0.140
K1 K 0.496 0.993 0.492
# Mass density, g cm⁻³: 4.86
# Energy of formation from the pure elements, eV/atom: 0.604

---

(5)
# Li2CuRh | the Alexandria database | meta-GGA SCAN | PBEsol geometry
data_Li2CuRh
_cell_length_a 2.863
_cell_length_b 4.172
_cell_length_c 4.129
_cell_angle_alpha 90.00
_cell_angle_beta 89.99
_cell_angle_gamma 90.00
_symmetry_space_group_name_H-M 'P 1'
_symmetry_Int_Tables_number 1
loop_
_symmetry_equiv_pos_as_xyz
'x,y,z'
loop_
_atom_site_label
_atom_site_type_symbol
_atom_site_fract_x
_atom_site_fract_y
_atom_site_fract_z
Rh1 Rh 0.625 0.000 0.625
Li1 Li 0.125 0.000 0.125
Li2 Li 0.625 0.500 0.125
Cu1 Cu 0.125 0.500 0.625
# Mass density, g cm⁻³: 6.07
# Energy of formation from the pure elements, eV/atom: -0.134

---

(6)
# ZrBiP2Cl | the Alexandria database | meta-GGA SCAN | PBEsol geometry
data_ZrBiP2Cl
_cell_length_a 4.964
_cell_length_b 5.146
_cell_length_c 5.146
_cell_angle_alpha 90.00
_cell_angle_beta 90.00
_cell_angle_gamma 90.00
_symmetry_space_group_name_H-M 'P 1'
_symmetry_Int_Tables_number 1
loop_
_symmetry_equiv_pos_as_xyz
'x,y,z'
loop_
_atom_site_label
_atom_site_type_symbol
_atom_site_fract_x
_atom_site_fract_y
_atom_site_fract_z
Zr1 Zr 0.500 0.500 0.500
Cl1 Cl 0.500 0.000 0.000
P1 P 0.000 0.000 0.500
Bi1 Bi 0.000 0.000 0.000
P2 P 0.000 0.500 0.000
# Mass density, g cm⁻³: 5.02
# Electronic total energy, eV per atom: -26.787

---

(7)
# K2SrTc | the Alexandria database | meta-GGA SCAN | PBEsol geometry
data_K2SrTc
_cell_length_a 5.902
_cell_length_b 5.902
_cell_length_c 5.902
_cell_angle_alpha 60.00
_cell_angle_beta 60.00
_cell_angle_gamma 60.00
_symmetry_space_group_name_H-M 'P 1'
_symmetry_Int_Tables_number 1
loop_
_symmetry_equiv_pos_as_xyz
'x,y,z'
loop_
_atom_site_label
_atom_site_type_symbol
_atom_site_fract_x
_atom_site_fract_y
_atom_site_fract_z
Sr1 Sr 0.000 0.000 0.000
K1 K 0.250 0.250 0.250
Tc1 Tc 0.500 0.500 0.500
K2 K 0.750 0.750 0.750
# Mass density, g cm⁻³: 3.01
# Energy of formation from the pure elements, eV/atom: 1.151

---

(8)
# ZrAgAu | the Alexandria database | meta-GGA SCAN | PBEsol geometry
data_ZrAgAu
_cell_length_a 2.829
_cell_length_b 4.673
_cell_length_c 4.673
_cell_angle_alpha 120.00
_cell_angle_beta 90.00
_cell_angle_gamma 90.00
_symmetry_space_group_name_H-M 'P 1'
_symmetry_Int_Tables_number 1
loop_
_symmetry_equiv_pos_as_xyz
'x,y,z'
loop_
_atom_site_label
_atom_site_type_symbol
_atom_site_fract_x
_atom_site_fract_y
_atom_site_fract_z
Au1 Au 0.833 0.333 0.667
Ag1 Ag 0.833 0.000 0.000
Zr1 Zr 0.334 0.667 0.333
# Mass density, g cm⁻³: 12.29
# Energy of formation from the pure elements, eV/atom: -0.438

---

(9)
# Na2PtPbCl | the Alexandria database | meta-GGA SCAN | PBEsol geometry
data_Na2PtPbCl
_cell_length_a 4.916
_cell_length_b 6.098
_cell_length_c 6.098
_cell_angle_alpha 90.00
_cell_angle_beta 90.00
_cell_angle_gamma 90.00
_symmetry_space_group_name_H-M 'P 1'
_symmetry_Int_Tables_number 1
loop_
_symmetry_equiv_pos_as_xyz
'x,y,z'
loop_
_atom_site_label
_atom_site_type_symbol
_atom_site_fract_x
_atom_site_fract_y
_atom_site_fract_z
Pt1 Pt 0.500 0.000 0.000
Na1 Na 0.000 0.500 0.000
Pb1 Pb 0.000 0.000 0.000
Na2 Na 0.000 0.000 0.500
Cl1 Cl 0.500 0.500 0.500
# Mass density, g cm⁻³: 4.39
# Electronic total energy, eV per atom: -32.581

---

(10)
# TiSn3As | the Alexandria database | meta-GGA SCAN | PBEsol geometry
data_TiSn3As
_cell_length_a 5.202
_cell_length_b 5.202
_cell_length_c 5.202
_cell_angle_alpha 90.00
_cell_angle_beta 90.00
_cell_angle_gamma 90.00
_symmetry_space_group_name_H-M 'P 1'
_symmetry_Int_Tables_number 1
loop_
_symmetry_equiv_pos_as_xyz
'x,y,z'
loop_
_atom_site_label
_atom_site_type_symbol
_atom_site_fract_x
_atom_site_fract_y
_atom_site_fract_z
Sn1 Sn 0.500 0.000 0.000
Ti1 Ti 0.000 0.000 0.000
Sn2 Sn 0.000 0.000 0.500
As1 As 0.500 0.500 0.500
Sn3 Sn 0.000 0.500 0.000
# Mass density, g cm⁻³: 5.65
# Energy of formation from the pure elements, eV/atom: 0.568

---

(11)
# KTlP2 | the Alexandria database | meta-GGA SCAN | PBEsol geometry
data_KTlP2
_cell_length_a 4.141
_cell_length_b 4.141
_cell_length_c 6.598
_cell_angle_alpha 90.00
_cell_angle_beta 90.00
_cell_angle_gamma 90.00
_symmetry_space_group_name_H-M 'P 1'
_symmetry_Int_Tables_number 1
loop_
_symmetry_equiv_pos_as_xyz
'x,y,z'
loop_
_atom_site_label
_atom_site_type_symbol
_atom_site_fract_x
_atom_site_fract_y
_atom_site_fract_z
K1 K 0.500 0.500 0.500
P1 P 0.000 0.000 0.843
P2 P 0.000 0.000 0.157
Tl1 Tl 0.500 0.500 0.000
# Mass density, g cm⁻³: 4.48
# Energy of formation from the pure elements, eV/atom: -0.030

---

(12)
# Sc5Al3 | the Alexandria database | meta-GGA SCAN | PBEsol geometry
data_Sc5Al3
_cell_length_a 3.116
_cell_length_b 3.116
_cell_length_c 16.549
_cell_angle_alpha 90.00
_cell_angle_beta 90.00
_cell_angle_gamma 90.00
_symmetry_space_group_name_H-M 'P 1'
_symmetry_Int_Tables_number 1
loop_
_symmetry_equiv_pos_as_xyz
'x,y,z'
loop_
_atom_site_label
_atom_site_type_symbol
_atom_site_fract_x
_atom_site_fract_y
_atom_site_fract_z
Sc1 Sc 0.500 0.500 0.619
Al1 Al 0.500 0.500 0.118
Sc2 Sc 0.000 0.000 0.236
Sc3 Sc 0.500 0.500 0.381
Al2 Al 0.500 0.500 0.882
Al3 Al 0.000 0.000 0.500
Sc4 Sc 0.000 0.000 0.764
Sc5 Sc 0.000 0.000 0.000
# Mass density, g cm⁻³: 3.16
# Energy of formation from the pure elements, eV/atom: -0.355